DFT (GGA+U) results for an optimized crystal structure of Rb2AlFeO.

Results
* calculated total energy: -17.25 eV/cell
* calculated volume: 157.4 Å³/cell

Cell and atoms, written as POSCAR:
```
Rb2AlFeO
1.0
-1.548 -6.164 1.365
2.238 -1.168 -2.739
4.961 -0.318 4.189
Fe Rb O Al
1 2 1 1
Direct
0.000 0.500 0.000
0.000 0.000 0.500
0.500 0.000 0.000
0.000 0.000 0.000
0.500 0.500 0.500
```